Compound: BaFe2P2O8
Source: Alexandria via LeMat-Bulk
Functional: PBEsol
Structure: relaxed

Structure (extended XYZ):
```
26
Lattice="4.883 0.006 -0.054 2.446 4.110 -0.033 2.127 1.343 15.738" Properties=species:S:1:pos:R:3 pbc="T T T"
Ba 2.364 1.363 3.913
Ba 7.093 4.096 11.738
O 4.085 1.272 1.173
O 3.901 4.164 1.303
O 4.629 2.733 11.125
O 3.273 2.675 6.490
O 2.228 1.343 12.439
O 6.596 2.839 1.132
O 3.995 1.453 9.046
O 5.372 4.187 14.478
O 5.526 1.462 6.600
O 7.228 4.116 3.213
O 3.930 3.997 9.051
O 4.828 2.726 4.526
O 2.860 2.620 14.520
O 5.556 1.295 14.349
O 6.183 2.784 9.161
O 5.461 4.005 6.605
P 2.174 1.331 13.962
P 4.682 2.743 9.602
P 7.282 4.127 1.689
P 4.775 2.716 6.050
Fe 7.170 3.968 7.750
Fe 4.886 2.878 -0.011
Fe 2.286 1.491 7.902
Fe 4.571 2.581 15.662
```

Density of states at the Fermi level = 2.65 states/eV/cell
Symmetry = P-1
E_tot = -202.441 eV/cell
Crystal system = triclinic
Formation energy (no corrections) = -2.121 eV per atom


Compound: LaIr2Se
Source: Alexandria via LeMat-Bulk
Functional: PBEsol
Structure: relaxed

Structure (extended XYZ):
```
4
Lattice="-3.194 2.382 -0.515 -2.308 -3.229 -0.623 1.847 0.193 5.113" Properties=species:S:1:pos:R:3 pbc="T T T"
La -2.751 -0.423 -0.569
Ir -2.049 1.076 2.014
Ir -1.606 -1.730 1.960
Se 0.000 0.000 0.000
```

Density of states at the Fermi level = 4.28 states/eV/cell
Symmetry = I4/mmm
E_tot = -29.347 eV/cell
Crystal system = tetragonal
Formation energy (no corrections) = -0.126 eV per atom


Compound: AlMo2Se
Source: Alexandria via LeMat-Bulk
Functional: PBEsol
Structure: relaxed

Structure (extended XYZ):
```
4
Lattice="2.812 0.001 0.000 -1.010 2.624 0.000 0.000 0.000 8.733" Properties=species:S:1:pos:R:3 pbc="T T T"
Al 0.901 1.312 2.050
Mo 0.901 1.312 6.606
Mo 0.000 0.000 8.694
Se 0.000 0.000 4.481
```

Density of states at the Fermi level = 2.32 states/eV/cell
Symmetry = Cmm2
E_tot = -30.793 eV/cell
Crystal system = orthorhombic
Formation energy (no corrections) = 0.171 eV per atom


Compound: Ca3Ta
Source: Alexandria via LeMat-Bulk
Functional: PBEsol
Structure: relaxed

Structure (extended XYZ):
```
4
Lattice="4.937 0.000 0.000 0.000 4.937 0.000 0.000 0.000 4.937" Properties=species:S:1:pos:R:3 pbc="T T T"
Ta 0.000 0.000 0.000
Ca 2.468 0.000 2.468
Ca 2.468 2.468 0.000
Ca 0.000 2.468 2.468
```

Density of states at the Fermi level = 1.90 states/eV/cell
Symmetry = Pm-3m
E_tot = -15.792 eV/cell
Crystal system = cubic


Compound: Tl2ZnPb
Source: Alexandria via LeMat-Bulk
Functional: PBEsol
Structure: relaxed

Structure (extended XYZ):
```
4
Lattice="-1.660 1.011 -2.865 -1.787 -2.302 -1.869 -9.203 1.485 3.765" Properties=species:S:1:pos:R:3 pbc="T T T"
Tl -9.262 0.093 -0.876
Tl -9.159 1.475 3.736
Pb -3.391 0.103 -0.090
Zn -6.364 0.107 -0.458
```

Density of states at the Fermi level = 1.82 states/eV/cell
Symmetry = R3m
E_tot = -10.376 eV/cell
Crystal system = trigonal


Compound: SrCdS2
Source: Alexandria via LeMat-Bulk
Functional: PBEsol
Structure: relaxed

Structure (extended XYZ):
```
4
Lattice="-2.934 -2.291 -1.628 0.912 -2.739 -2.858 0.511 -7.276 4.249" Properties=species:S:1:pos:R:3 pbc="T T T"
S -1.626 -6.903 -2.564
S 0.115 -5.403 2.327
Cd -0.756 -6.153 -0.118
Sr 0.000 0.000 0.000
```

Density of states at the Fermi level = 5.12 states/eV/cell
Symmetry = R-3m
E_tot = -13.628 eV/cell
Crystal system = trigonal
Formation energy (no corrections) = -0.456 eV per atom


Compound: Ca2SbN
Source: Alexandria via LeMat-Bulk
Functional: PBEsol
Structure: relaxed

Structure (extended XYZ):
```
4
Lattice="-1.277 3.961 -2.838 -3.994 2.807 1.244 0.656 4.675 1.759" Properties=species:S:1:pos:R:3 pbc="T T T"
Sb -2.307 5.721 0.082
N 0.000 0.000 0.000
Ca -3.461 8.582 0.124
Ca -1.154 2.861 0.041
```

Density of states at the Fermi level = 2.69 states/eV/cell
Symmetry = Fm-3m
E_tot = -17.497 eV/cell
Crystal system = cubic
Formation energy (no corrections) = -0.037 eV per atom


Compound: Rb6Pb5Cl16
Source: Alexandria via LeMat-Bulk
Functional: PBEsol
Structure: relaxed

Structure (extended XYZ):
```
54
Lattice="-3.197 -10.631 -0.633 7.714 -2.683 8.362 -8.251 2.140 7.998" Properties=species:S:1:pos:R:3 pbc="T T T"
Rb -1.020 -2.989 5.116
Rb -2.016 -5.629 13.852
Rb 1.635 -0.847 8.223
Rb -4.049 -4.928 7.813
Rb -3.253 -10.664 1.406
Rb -4.126 1.070 3.999
Rb 0.315 -6.246 7.913
Rb -2.715 -8.185 10.610
Rb 3.857 -1.342 4.181
Rb -2.173 0.303 8.136
Rb -1.718 -5.546 1.875
Rb -0.481 -0.511 14.321
Cl -0.067 -6.076 4.667
Cl -3.317 -10.608 4.931
Cl -0.781 -8.947 2.499
Cl -4.406 -7.852 2.416
Cl -0.232 -6.136 11.138
Cl -3.959 -1.602 6.202
Cl -2.745 -1.680 2.738
Cl -3.502 -5.038 4.588
Cl -5.632 -7.676 5.728
Cl -1.200 -3.354 8.183
Cl -5.882 -7.728 9.385
Cl 0.224 -9.572 9.524
Cl 0.198 -9.438 5.861
Cl 0.671 -3.323 13.311
Cl 2.147 -3.447 6.341
Cl -0.895 -2.969 -0.065
Cl -0.990 -9.495 12.989
Cl -6.725 -4.131 6.075
Cl 2.991 -7.044 9.652
Cl 1.898 -3.498 9.999
Cl -4.974 -8.291 12.898
Cl -3.932 -1.737 9.866
Cl -2.535 -7.821 7.543
Cl -2.839 -8.205 15.792
Cl -3.668 -5.098 11.060
Cl 1.239 -2.883 2.829
Cl 3.055 -7.085 6.298
Cl -6.789 -4.090 9.428
Cl -5.691 1.366 8.056
Cl -2.954 -2.228 13.228
Cl -0.418 -0.567 10.795
Cl 5.153 -1.910 8.303
Pb -7.813 -6.604 7.364
Pb 1.562 -8.598 11.844
Pb -6.272 -1.444 8.127
Pb -2.520 -7.978 4.819
Pb 2.538 -9.731 7.600
Pb -6.552 -6.147 11.659
Pb 4.079 -4.571 8.363
Pb 2.818 -5.028 4.067
Pb -5.296 -2.577 3.882
Pb -1.215 -3.197 10.907
```

Density of states at the Fermi level = 0.00 states/eV/cell
Symmetry = C2/m
E_tot = -197.703 eV/cell
Crystal system = monoclinic
Formation energy (no corrections) = -1.503 eV per atom


Compound: ReHgAs2
Source: Alexandria via LeMat-Bulk
Functional: PBEsol
Structure: relaxed

Structure (extended XYZ):
```
4
Lattice="2.914 0.000 0.000 0.000 4.822 0.000 -1.457 -2.411 5.556" Properties=species:S:1:pos:R:3 pbc="T T T"
As 1.457 2.411 2.054
As 0.000 0.000 3.502
Hg 1.457 0.000 0.000
Re 0.000 2.411 0.000
```

Density of states at the Fermi level = 3.09 states/eV/cell
Symmetry = Immm
E_tot = -22.656 eV/cell
Crystal system = orthorhombic


Compound: YCuAu2
Source: Alexandria via LeMat-Bulk
Functional: PBEsol
Structure: relaxed

Structure (extended XYZ):
```
4
Lattice="-2.648 0.021 -3.259 3.181 -1.156 -2.592 -1.123 -3.293 3.596" Properties=species:S:1:pos:R:3 pbc="T T T"
Cu -0.853 -3.842 0.667
Au -0.002 -0.008 0.001
Au -1.756 -1.937 -1.291
Y 1.164 -2.501 -0.962
```

Density of states at the Fermi level = 2.02 states/eV/cell
Symmetry = Imm2
E_tot = -21.001 eV/cell
Crystal system = orthorhombic


Compound: NdB6
Source: Alexandria via LeMat-Bulk
Functional: PBEsol
Structure: relaxed

Structure (extended XYZ):
```
7
Lattice="4.112 0.000 0.000 0.000 4.112 0.000 0.000 0.000 4.112" Properties=species:S:1:pos:R:3 pbc="T T T"
B 2.056 2.056 3.291
B 2.056 2.056 0.821
B 0.821 2.056 2.056
B 2.056 0.821 2.056
B 3.291 2.056 2.056
B 2.056 3.291 2.056
Nd 0.000 0.000 0.000
```

Density of states at the Fermi level = 0.80 states/eV/cell
Symmetry = Pm-3m
E_tot = -50.729 eV/cell
Crystal system = cubic


Compound: Ca2TlTeRu
Source: Alexandria via LeMat-Bulk
Functional: PBEsol
Structure: relaxed

Structure (extended XYZ):
```
5
Lattice="5.548 0.000 0.000 0.000 5.732 0.000 0.000 0.000 5.732" Properties=species:S:1:pos:R:3 pbc="T T T"
Ru 2.774 2.866 2.866
Ca 0.000 2.866 0.000
Ca 0.000 0.000 2.866
Tl 0.000 0.000 0.000
Te 2.774 0.000 0.000
```

Density of states at the Fermi level = 8.50 states/eV/cell
Symmetry = P4/mmm
E_tot = -15.065 eV/cell
Crystal system = tetragonal
Formation energy (no corrections) = 1.106 eV per atom


Compound: BeTcP2
Source: Alexandria via LeMat-Bulk
Functional: PBEsol
Structure: relaxed

Structure (extended XYZ):
```
4
Lattice="-1.515 0.343 2.562 -0.210 -4.034 0.415 3.428 1.101 1.878" Properties=species:S:1:pos:R:3 pbc="T T T"
P -0.105 -2.017 0.208
P 1.714 0.551 0.939
Tc 0.852 -1.295 2.427
Be -0.757 0.172 1.281
```

Density of states at the Fermi level = 1.97 states/eV/cell
Symmetry = Cmmm
E_tot = -26.755 eV/cell
Crystal system = orthorhombic


Compound: Ta2Be2W
Source: Alexandria via LeMat-Bulk
Functional: PBEsol
Structure: relaxed

Structure (extended XYZ):
```
10
Lattice="-1.337 2.553 -1.595 -4.391 0.541 4.547 3.787 3.972 3.184" Properties=species:S:1:pos:R:3 pbc="T T T"
Ta -1.392 2.165 1.231
Ta -0.549 4.901 4.906
Ta 1.116 4.075 2.186
Ta -3.057 2.991 3.950
W 0.000 0.000 0.000
W -0.302 2.257 3.866
Be 1.661 3.719 4.561
Be 0.945 1.588 1.750
Be -2.266 0.794 3.170
Be -1.549 2.925 5.981
```

Density of states at the Fermi level = 4.36 states/eV/cell
Symmetry = P4/mbm
E_tot = -96.137 eV/cell
Crystal system = tetragonal


Compound: PIrWS2
Source: Alexandria via LeMat-Bulk
Functional: PBEsol
Structure: relaxed

Structure (extended XYZ):
```
5
Lattice="4.463 0.000 0.000 0.000 4.541 0.000 0.000 0.000 4.541" Properties=species:S:1:pos:R:3 pbc="T T T"
Ir 0.000 0.000 0.000
S 0.000 2.271 0.000
S 0.000 0.000 2.271
P 2.231 0.000 0.000
W 2.231 2.271 2.271
```

Density of states at the Fermi level = 3.77 states/eV/cell
Symmetry = P4/mmm
E_tot = -31.686 eV/cell
Crystal system = tetragonal
Formation energy (no corrections) = 1.301 eV per atom


Compound: Sr2SbOs
Source: Alexandria via LeMat-Bulk
Functional: PBEsol
Structure: relaxed

Structure (extended XYZ):
```
4
Lattice="3.529 0.000 0.000 1.764 3.056 0.000 1.764 1.019 9.854" Properties=species:S:1:pos:R:3 pbc="T T T"
Os 3.529 2.037 4.927
Sb 0.000 0.000 0.000
Sr 1.764 1.019 2.760
Sr 5.293 3.056 7.094
```

Density of states at the Fermi level = 1.55 states/eV/cell
Symmetry = R-3m
E_tot = -18.663 eV/cell
Crystal system = trigonal
Formation energy (no corrections) = 0.448 eV per atom


Compound: MnAgAu2
Source: Alexandria via LeMat-Bulk
Functional: PBEsol
Structure: relaxed

Structure (extended XYZ):
```
4
Lattice="3.152 0.000 0.000 0.000 3.198 0.000 0.000 0.000 6.417" Properties=species:S:1:pos:R:3 pbc="T T T"
Au 0.000 0.000 1.499
Au 0.000 0.000 4.918
Ag 1.576 1.599 3.208
Mn 1.576 1.599 0.000
```

Density of states at the Fermi level = 1.57 states/eV/cell
Symmetry = Pmmm
E_tot = -20.889 eV/cell
Crystal system = orthorhombic


Compound: LiSiRh2
Source: Alexandria via LeMat-Bulk
Functional: PBEsol
Structure: relaxed

Structure (extended XYZ):
```
4
Lattice="2.702 0.000 0.000 0.000 3.663 0.000 0.000 0.000 5.046" Properties=species:S:1:pos:R:3 pbc="T T T"
Rh 1.351 1.831 1.411
Rh 0.000 0.000 4.873
Si 0.000 0.000 2.471
Li 1.351 1.831 3.859
```

Density of states at the Fermi level = 3.27 states/eV/cell
Symmetry = Pmm2
E_tot = -25.613 eV/cell
Crystal system = orthorhombic
Formation energy (no corrections) = -0.406 eV per atom


Compound: Co2HgH2
Source: Alexandria via LeMat-Bulk
Functional: PBEsol
Structure: relaxed

Structure (extended XYZ):
```
5
Lattice="-1.702 -0.957 2.273 2.207 -1.822 0.886 1.595 5.049 1.345" Properties=species:S:1:pos:R:3 pbc="T T T"
H 2.027 0.918 1.905
H 0.073 1.351 2.599
Co 0.897 -0.114 2.599
Co 1.203 2.383 1.905
Hg 0.000 0.000 0.000
```

Density of states at the Fermi level = 6.42 states/eV/cell
Symmetry = I4/mmm
E_tot = -21.938 eV/cell
Crystal system = tetragonal


Compound: LiBSe2
Source: Alexandria via LeMat-Bulk
Functional: PBEsol
Structure: relaxed

Structure (extended XYZ):
```
8
Lattice="5.683 0.000 0.000 -2.841 5.171 0.063 0.000 3.064 4.786" Properties=species:S:1:pos:R:3 pbc="T T T"
Se 4.262 3.411 3.325
Se -1.799 6.559 4.235
Se 1.799 5.027 1.842
Se 1.421 1.472 0.296
Li 0.000 3.351 1.228
Li 2.841 1.532 2.393
B 0.000 0.000 0.000
B 2.841 4.883 3.621
```

Density of states at the Fermi level = 0.00 states/eV/cell
Symmetry = I-42d
E_tot = -37.930 eV/cell
Crystal system = tetragonal
Formation energy (no corrections) = -0.570 eV per atom


Compound: Rb3NbMo
Source: Alexandria via LeMat-Bulk
Functional: PBEsol
Structure: relaxed

Structure (extended XYZ):
```
5
Lattice="6.724 0.000 0.000 0.000 6.724 0.000 0.000 0.000 6.724" Properties=species:S:1:pos:R:3 pbc="T T T"
Rb 0.000 0.000 3.362
Rb 0.000 3.362 0.000
Rb 3.362 0.000 0.000
Mo 3.362 3.362 3.362
Nb 0.000 0.000 0.000
```

Density of states at the Fermi level = 3.04 states/eV/cell
Symmetry = Pm-3m
E_tot = -14.118 eV/cell
Crystal system = cubic


Compound: AlP2SeCl
Source: Alexandria via LeMat-Bulk
Functional: PBEsol
Structure: relaxed

Structure (extended XYZ):
```
5
Lattice="-2.335 -1.627 3.825 0.498 -4.465 -1.596 4.168 -0.386 2.380" Properties=species:S:1:pos:R:3 pbc="T T T"
P -1.168 -0.814 1.913
P 0.249 -2.233 -0.798
Cl 2.084 -0.193 1.190
Al 1.165 -3.239 2.305
Se 0.000 0.000 0.000
```

Density of states at the Fermi level = 3.88 states/eV/cell
Symmetry = P4/mmm
E_tot = -17.651 eV/cell
Crystal system = tetragonal
Formation energy (no corrections) = 0.776 eV per atom


Compound: Tl2HgAu
Source: Alexandria via LeMat-Bulk
Functional: PBEsol
Structure: relaxed

Structure (extended XYZ):
```
8
Lattice="-2.176 -5.486 1.399 -1.264 -4.107 -4.922 4.312 -4.800 1.030" Properties=species:S:1:pos:R:3 pbc="T T T"
Tl 0.487 -7.106 -4.098
Tl 1.635 -11.637 -0.358
Tl 0.928 -5.916 1.255
Tl -1.307 -4.128 -1.785
Hg -0.108 -8.568 -0.897
Hg 0.000 0.000 0.000
Au -1.088 -2.743 0.700
Au 0.980 -5.825 -1.597
```

Density of states at the Fermi level = 3.22 states/eV/cell
Symmetry = I-42d
E_tot = -18.954 eV/cell
Crystal system = tetragonal


Compound: Os3Rh
Source: Alexandria via LeMat-Bulk
Functional: PBEsol
Structure: relaxed

Structure (extended XYZ):
```
4
Lattice="-2.508 0.412 -0.962 0.597 -3.531 -3.066 -0.613 -1.221 4.912" Properties=species:S:1:pos:R:3 pbc="T T T"
Os -0.793 -1.406 1.464
Os 0.398 -2.358 -2.047
Os -1.731 -2.935 -0.581
Rh -1.155 -0.378 -0.988
```

Density of states at the Fermi level = 3.08 states/eV/cell
Symmetry = Imm2
E_tot = -44.633 eV/cell
Crystal system = orthorhombic


Compound: CaAuNO2
Source: Alexandria via LeMat-Bulk
Functional: PBEsol
Structure: relaxed

Structure (extended XYZ):
```
5
Lattice="-2.416 2.693 -0.806 -3.178 -2.785 0.220 -0.446 0.834 4.124" Properties=species:S:1:pos:R:3 pbc="T T T"
O -1.589 -1.393 0.110
O -0.223 0.417 2.062
Au 0.000 0.000 0.000
Ca -3.020 0.371 1.769
N -1.208 1.347 -0.403
```

Density of states at the Fermi level = 1.26 states/eV/cell
Symmetry = P4/mmm
E_tot = -26.602 eV/cell
Crystal system = tetragonal
Formation energy (no corrections) = -0.304 eV per atom